Entry 1:
Computed, not measured: an optimized crystal structure of Cr2SnRu at the PBE level of DFT.

As for the crystal system: tetragonal. The space group is No. 122.

Lattice parameters (Å, degrees): 5.705 5.705 5.705 102.97 102.97 123.45
Sites, in units of the cell vectors:
Cr 0.080 0.625 0.955
Cr 0.375 0.330 0.455
Cr 0.670 0.125 0.045
Cr 0.875 0.920 0.545
Sn 0.250 0.750 0.500
Sn 0.500 0.500 0.000
Ru 0.000 0.000 0.000
Ru 0.750 0.250 0.500

Entry 2:
Computed, not measured: an optimized crystal structure of CrTc2SnRu at the PBE level of DFT.

As for the crystal system: tetragonal. The space group is No. 123.

Lattice parameters (Å, degrees): 4.680 4.680 4.602 90.00 90.00 90.00
Sites, in units of the cell vectors:
Cr 0.000 0.000 0.000
Tc 0.000 0.500 0.500
Tc 0.500 0.000 0.500
Sn 0.500 0.500 0.000
Ru 0.000 0.000 0.500

Entry 3:
Computed, not measured: an optimized crystal structure of Cr2SnRuW at the PBE level of DFT.

As for the crystal system: tetragonal. The space group is No. 123.

Lattice parameters (Å, degrees): 4.563 4.563 4.881 90.00 90.00 90.00
Sites, in units of the cell vectors:
Cr 0.000 0.500 0.000
Cr 0.500 0.000 0.000
Sn 0.000 0.000 0.000
Ru 0.500 0.500 0.500
W 0.000 0.000 0.500

Entry 4:
Computed, not measured: an optimized crystal structure of ZrCrSn2Ru at the PBE level of DFT.

As for the crystal system: tetragonal. The space group is No. 123.

Lattice parameters (Å, degrees): 5.449 5.449 4.718 90.00 90.00 90.00
Sites, in units of the cell vectors:
Zr 0.000 0.000 0.000
Cr 0.500 0.500 0.500
Sn 0.000 0.500 0.000
Sn 0.500 0.000 0.000
Ru 0.000 0.000 0.500

Entry 5:
Computed, not measured: an optimized crystal structure of SrCrRu2 at the PBE level of DFT.

As for the crystal system: orthorhombic. The space group is No. 47.

Lattice parameters (Å, degrees): 3.047 3.098 7.490 90.00 90.00 90.00
Sites, in units of the cell vectors:
Sr 0.000 0.000 0.000
Cr 0.000 0.000 0.500
Ru 0.500 0.500 0.320
Ru 0.500 0.500 0.680

Entry 6:
Computed, not measured: an optimized crystal structure of SrCr2Ru at the PBE level of DFT.

As for the crystal system: orthorhombic. The space group is No. 71.

Lattice parameters (Å, degrees): 5.736 5.736 5.736 146.63 124.13 66.66
Sites, in units of the cell vectors:
Sr 0.000 0.000 0.000
Cr 0.307 0.807 0.500
Cr 0.693 0.193 0.500
Ru 0.500 0.500 0.000

Entry 7:
Computed, not measured: an optimized crystal structure of SrCr2Ru at the PBE level of DFT.

As for the crystal system: tetragonal. The space group is No. 99.

Lattice parameters (Å, degrees): 3.085 3.085 7.739 90.00 90.00 90.00
Sites, in units of the cell vectors:
Sr 0.000 0.000 0.000
Cr 0.000 0.000 0.473
Cr 0.500 0.500 0.654
Ru 0.500 0.500 0.300

Entry 8:
Computed, not measured: an optimized crystal structure of SrCr2Ru at the PBE level of DFT.

As for the crystal system: monoclinic. The space group is No. 12.

Lattice parameters (Å, degrees): 5.321 5.321 2.719 99.06 99.06 117.89
Sites, in units of the cell vectors:
Sr 0.000 0.000 0.000
Cr 0.000 0.500 0.500
Cr 0.500 0.000 0.500
Ru 0.500 0.500 0.000

Entry 9:
Computed, not measured: an optimized crystal structure of SrCrRu3 at the PBE level of DFT.

As for the crystal system: cubic. The space group is No. 221.

Lattice parameters (Å, degrees): 4.561 4.561 4.561 90.00 90.00 90.00
Sites, in units of the cell vectors:
Sr 0.000 0.000 0.000
Cr 0.500 0.500 0.500
Ru 0.000 0.500 0.500
Ru 0.500 0.000 0.500
Ru 0.500 0.500 0.000

Entry 10:
Computed, not measured: an optimized crystal structure of SrCr2Ru at the PBE level of DFT.

As for the crystal system: cubic. The space group is No. 225.

Lattice parameters (Å, degrees): 4.491 4.491 4.491 60.00 60.00 60.00
Sites, in units of the cell vectors:
Sr 0.000 0.000 0.000
Cr 0.250 0.250 0.250
Cr 0.750 0.750 0.750
Ru 0.500 0.500 0.500

Entry 11:
Computed, not measured: an optimized crystal structure of SrCr4Ru at the PBE level of DFT.

As for the crystal system: cubic. The space group is No. 216.

Lattice parameters (Å, degrees): 5.028 5.028 5.028 60.00 60.00 60.00
Sites, in units of the cell vectors:
Sr 0.000 0.000 0.000
Cr 0.128 0.624 0.624
Cr 0.624 0.128 0.624
Cr 0.624 0.624 0.128
Cr 0.624 0.624 0.624
Ru 0.250 0.250 0.250

Entry 12:
Computed, not measured: an optimized crystal structure of SrCrRu2 at the PBE level of DFT.

As for the crystal system: orthorhombic. The space group is No. 47.

Lattice parameters (Å, degrees): 3.098 4.697 4.894 90.00 90.00 90.00
Sites, in units of the cell vectors:
Sr 0.000 0.000 0.000
Cr 0.500 0.000 0.500
Ru 0.000 0.500 0.500
Ru 0.500 0.500 0.000

Total energy: -0.2738 -0.2731 -0.2382 -0.2020 -0.2580 -0.2451 -0.2576 -0.2330 -0.2611 -0.2358 -0.2748 -0.2402 (Ha/atom)